A relaxed structure of Nd2YNi. Source: Alexandria, functional PBE-GGA.

V = 27.96 Å³/atom
Formation energy = -0.17 eV/atom
Relative energy among the computed polymorphs = 20 meV/atom
Density of states at the Fermi level = 4.736 states/eV/f.u.

Cell: 6.2817 6.2817 9.9355 Å, 90.00 90.00 145.22°
Closest atoms and distances in Å follow each position.
Positions (direct):
Nd (0.1370, 0.8630, 0.5690)  2 Ni 2.84
Nd (0.1370, 0.8630, 0.9310)  2 Ni 2.84
Nd (0.8630, 0.1370, 0.0690)  2 Ni 2.84
Nd (0.8630, 0.1370, 0.4310)  2 Ni 2.84
Y (0.4127, 0.5873, 0.7500)  2 Ni 2.87
Y (0.5873, 0.4127, 0.2500)  2 Ni 2.87
Ni (0.2686, 0.7314, 0.2500)  4 Nd 2.84, 2 Y 2.87
Ni (0.7314, 0.2686, 0.7500)  4 Nd 2.84, 2 Y 2.87